Record 1
## YMo2Pt (PBE)

Data for a geometry-optimized YMo2Pt structure.

Properties
total DFT energy (no corrections): -34.28 eV/f.u.
volume: 72 Å³ per cell
space group: F-43m (216)

Cell lengths 4.6613, 4.6613, 4.6613 Å; angles 60.00, 60.00, 60.00 degrees
Fractional coordinates of all 4 atoms:
Y1 0.0000 0.0000 0.0000
Mo1 0.2500 0.2500 0.2500
Mo2 0.5000 0.5000 0.5000
Pt1 0.7500 0.7500 0.7500

---

Record 2
## SmInPO (PBE)

Data for a geometry-optimized SmInPO structure.

Properties
total DFT energy (no corrections): -20.35 eV/f.u.
energy relative to the lowest polymorph listed for this composition: 3.19 eV/f.u.
volume: 165 Å³ per cell
space group: P4/nmm (129)

Cell lengths 4.4761, 4.4761, 8.2260 Å; angles 90.00, 90.00, 90.00 degrees
Fractional coordinates of all 8 atoms:
Sm1 0.2500 0.7500 0.0000
Sm2 0.7500 0.2500 0.0000
In1 0.2500 0.2500 0.4110
In2 0.7500 0.7500 0.5890
P1 0.2500 0.2500 0.7994
P2 0.7500 0.7500 0.2006
O1 0.2500 0.7500 0.5000
O2 0.7500 0.2500 0.5000